Entry 1:
The following is a GGA+U calculation of an optimized crystal structure of ZnTc2NiO8, from Alexandria.

Cell lengths 5.992, 5.992, 5.992 Å; angles 115.18, 115.18, 98.56 degrees
Positions (direct):
Zn1 0.000 0.000 0.000
Tc1 0.500 0.500 0.000
Tc2 0.750 0.250 0.500
Ni1 0.250 0.750 0.500
O1 0.368 0.146 0.778
O2 0.368 0.591 0.222
O3 0.391 0.118 0.273
O4 0.409 0.632 0.778
O5 0.845 0.118 0.727
O6 0.854 0.632 0.222
O7 0.882 0.155 0.273
O8 0.882 0.609 0.727

## Properties
For the spin magnetization, the calculation gives 2.0 μB/f.u. The calculation puts the total DFT energy (no corrections) at -6.463 eV per atom. For the density of states at the Fermi level, the calculation gives 5.37 states/eV/cell.



Entry 2:
The following is a GGA+U calculation of an optimized crystal structure of NiTeO4, from Alexandria.

Cell lengths 4.670, 5.659, 10.288 Å; angles 90.00, 90.00, 90.00 degrees
Positions (direct):
Ni1 0.000 0.000 0.000
Ni2 0.000 0.000 0.500
Ni3 0.500 0.500 0.000
Ni4 0.500 0.500 0.500
Te1 0.000 0.309 0.250
Te2 0.000 0.691 0.750
Te3 0.500 0.191 0.750
Te4 0.500 0.809 0.250
O1 0.195 0.280 0.090
O2 0.195 0.720 0.590
O3 0.240 0.045 0.329
O4 0.240 0.955 0.829
O5 0.260 0.455 0.829
O6 0.260 0.545 0.329
O7 0.305 0.220 0.590
O8 0.305 0.780 0.090
O9 0.695 0.220 0.910
O10 0.695 0.780 0.410
O11 0.740 0.455 0.671
O12 0.740 0.545 0.171
O13 0.760 0.045 0.171
O14 0.760 0.955 0.671
O15 0.805 0.280 0.410
O16 0.805 0.720 0.910

## Properties
For the spin magnetization, the calculation gives 2.0 μB/f.u. The calculation puts the total DFT energy (no corrections) at -5.271 eV per atom. The value obtained for the distance to the lowest polymorph of the same formula is 0.01 eV per formula unit.



Entry 3:
The following is a GGA+U calculation of an optimized crystal structure of NiTeO4, from Alexandria.

Cell lengths 5.623, 4.718, 5.640 Å; angles 90.00, 113.51, 90.00 degrees
Positions (direct):
Ni1 0.000 0.000 0.000
Ni2 0.000 0.500 0.500
Te1 0.500 0.000 0.500
Te2 0.500 0.500 0.000
O1 0.174 0.182 0.359
O2 0.174 0.318 0.859
O3 0.349 0.719 0.670
O4 0.349 0.781 0.170
O5 0.651 0.219 0.830
O6 0.651 0.281 0.330
O7 0.826 0.682 0.141
O8 0.826 0.818 0.641

## Properties
For the spin magnetization, the calculation gives 2.0 μB/f.u. The calculation puts the total DFT energy (no corrections) at -5.273 eV per atom. The value obtained for the distance to the lowest polymorph of the same formula is 0.00 eV per formula unit.



Entry 4:
The following is a GGA+U calculation of an optimized crystal structure of NiTeO3, from Alexandria.

Cell lengths 4.034, 4.034, 4.034 Å; angles 90.00, 90.00, 90.00 degrees
Positions (direct):
Ni1 0.000 0.000 0.000
Te1 0.500 0.500 0.500
O1 0.000 0.500 0.500
O2 0.500 0.000 0.500
O3 0.500 0.500 0.000

## Properties
For the spin magnetization, the calculation gives 1.2 μB/f.u. The calculation puts the total DFT energy (no corrections) at -4.147 eV per atom. For the density of states at the Fermi level, the calculation gives 9.76 states/eV/cell.



Entry 5:
The following is a GGA+U calculation of an optimized crystal structure of Ni3TeO, from Alexandria.

Cell lengths 4.702, 4.702, 4.702 Å; angles 90.00, 90.00, 90.00 degrees
Positions (direct):
Ni1 0.000 0.000 0.500
Ni2 0.000 0.500 0.000
Ni3 0.500 0.000 0.000
Te1 0.000 0.000 0.000
O1 0.500 0.500 0.500

## Properties
For the spin magnetization, the calculation gives 4.0 μB/f.u. The calculation puts the total DFT energy (no corrections) at -1.382 eV per atom. The value obtained for the distance to the lowest polymorph of the same formula is 8.96 eV per formula unit. For the density of states at the Fermi level, the calculation gives 5.14 states/eV/cell.



Entry 6:
The following is a GGA+U calculation of an optimized crystal structure of NiTeO3, from Alexandria.

Cell lengths 5.999, 7.534, 5.291 Å; angles 90.00, 90.00, 90.00 degrees
Positions (direct):
Ni1 0.000 0.000 0.000
Ni2 0.000 0.500 0.000
Ni3 0.500 0.000 0.500
Ni4 0.500 0.500 0.500
Te1 0.021 0.250 0.486
Te2 0.479 0.750 0.986
Te3 0.521 0.250 0.014
Te4 0.979 0.750 0.514
O1 0.056 0.750 0.158
O2 0.179 0.563 0.645
O3 0.179 0.937 0.645
O4 0.321 0.063 0.145
O5 0.321 0.437 0.145
O6 0.444 0.250 0.658
O7 0.556 0.750 0.342
O8 0.679 0.563 0.855
O9 0.679 0.937 0.855
O10 0.821 0.063 0.355
O11 0.821 0.437 0.355
O12 0.944 0.250 0.842

## Properties
For the spin magnetization, the calculation gives 2.0 μB/f.u. The calculation puts the total DFT energy (no corrections) at -5.158 eV per atom. For the density of states at the Fermi level, the calculation gives 0.00 states/eV/cell.



Entry 7:
The following is a GGA+U calculation of an optimized crystal structure of Ni3TeO6, from Alexandria.

Cell lengths 5.618, 5.618, 4.794 Å; angles 111.68, 111.68, 57.01 degrees
Positions (direct):
Ni1 0.000 0.000 0.000
Ni2 0.259 0.259 0.860
Ni3 0.741 0.741 0.140
Te1 0.500 0.500 0.500
O1 0.155 0.663 0.163
O2 0.311 0.311 0.511
O3 0.337 0.845 0.837
O4 0.663 0.155 0.163
O5 0.689 0.689 0.489
O6 0.845 0.337 0.837

## Properties
For the spin magnetization, the calculation gives 4.0 μB/f.u. The calculation puts the total DFT energy (no corrections) at -4.969 eV per atom. The value obtained for the distance to the lowest polymorph of the same formula is 1.84 eV per formula unit. For the density of states at the Fermi level, the calculation gives 0.00 states/eV/cell.



Entry 8:
The following is a GGA+U calculation of an optimized crystal structure of Ni3TeO6, from Alexandria.

Cell lengths 6.075, 6.075, 6.075 Å; angles 90.53, 90.53, 90.53 degrees
Positions (direct):
Ni1 0.054 0.747 0.571
Ni2 0.253 0.429 0.946
Ni3 0.429 0.946 0.253
Ni4 0.571 0.054 0.747
Ni5 0.747 0.571 0.054
Ni6 0.946 0.253 0.429
Te1 0.000 0.000 0.000
Te2 0.500 0.500 0.500
O1 0.046 0.695 0.909
O2 0.091 0.954 0.305
O3 0.196 0.430 0.572
O4 0.305 0.091 0.954
O5 0.428 0.804 0.570
O6 0.430 0.572 0.196
O7 0.570 0.428 0.804
O8 0.572 0.196 0.430
O9 0.695 0.909 0.046
O10 0.804 0.570 0.428
O11 0.909 0.046 0.695
O12 0.954 0.305 0.091

## Properties
For the spin magnetization, the calculation gives 6.0 μB/f.u. The calculation puts the total DFT energy (no corrections) at -5.131 eV per atom. The value obtained for the distance to the lowest polymorph of the same formula is 0.22 eV per formula unit. For the density of states at the Fermi level, the calculation gives 0.00 states/eV/cell.



Entry 9:
The following is a GGA+U calculation of an optimized crystal structure of NiTe2O, from Alexandria.

Cell lengths 3.182, 3.182, 25.605 Å; angles 90.00, 90.00, 120.00 degrees
Positions (direct):
Ni1 0.000 0.000 0.000
Ni2 0.333 0.667 0.667
Ni3 0.667 0.333 0.333
Te1 0.000 0.000 0.096
Te2 0.000 0.000 0.904
Te3 0.333 0.667 0.570
Te4 0.333 0.667 0.763
Te5 0.667 0.333 0.237
Te6 0.667 0.333 0.430
O1 0.000 0.000 0.500
O2 0.333 0.667 0.167
O3 0.667 0.333 0.833

## Properties
For the spin magnetization, the calculation gives 0.0 μB/f.u. The calculation puts the total DFT energy (no corrections) at -2.726 eV per atom. For the density of states at the Fermi level, the calculation gives 8.80 states/eV/cell.



Entry 10:
The following is a GGA+U calculation of an optimized crystal structure of NiTeO3, from Alexandria.

Cell lengths 5.175, 3.473, 8.339 Å; angles 90.00, 93.17, 90.00 degrees
Positions (direct):
Ni1 0.144 0.250 0.136
Ni2 0.856 0.750 0.864
Te1 0.291 0.250 0.691
Te2 0.709 0.750 0.309
O1 0.073 0.750 0.661
O2 0.117 0.250 0.891
O3 0.376 0.750 0.190
O4 0.624 0.250 0.810
O5 0.883 0.750 0.109
O6 0.927 0.250 0.339

## Properties
For the spin magnetization, the calculation gives 2.0 μB/f.u. The calculation puts the total DFT energy (no corrections) at -5.006 eV per atom. For the density of states at the Fermi level, the calculation gives 0.00 states/eV/cell.



Entry 11:
The following is a GGA+U calculation of an optimized crystal structure of NiTeO3, from Alexandria.

Cell lengths 5.604, 8.134, 5.481 Å; angles 90.00, 90.00, 90.00 degrees
Positions (direct):
Ni1 0.025 0.250 0.009
Ni2 0.475 0.750 0.509
Ni3 0.525 0.250 0.491
Ni4 0.975 0.750 0.991
Te1 0.000 0.000 0.500
Te2 0.000 0.500 0.500
Te3 0.500 0.000 0.000
Te4 0.500 0.500 0.000
O1 0.117 0.750 0.647
O2 0.169 0.579 0.163
O3 0.169 0.921 0.163
O4 0.331 0.079 0.663
O5 0.331 0.421 0.663
O6 0.383 0.250 0.147
O7 0.617 0.750 0.853
O8 0.669 0.579 0.337
O9 0.669 0.921 0.337
O10 0.831 0.079 0.837
O11 0.831 0.421 0.837
O12 0.883 0.250 0.353

## Properties
For the spin magnetization, the calculation gives 2.0 μB/f.u. The calculation puts the total DFT energy (no corrections) at -4.919 eV per atom. For the density of states at the Fermi level, the calculation gives 0.16 states/eV/cell.



Entry 12:
The following is a GGA+U calculation of an optimized crystal structure of NiTe2O, from Alexandria.

Cell lengths 3.937, 3.937, 19.759 Å; angles 90.00, 90.00, 120.00 degrees
Positions (direct):
Ni1 0.000 0.000 0.000
Ni2 0.333 0.667 0.667
Ni3 0.667 0.333 0.333
Te1 0.000 0.000 0.397
Te2 0.000 0.000 0.603
Te3 0.333 0.667 0.063
Te4 0.333 0.667 0.270
Te5 0.667 0.333 0.730
Te6 0.667 0.333 0.937
O1 0.000 0.000 0.500
O2 0.333 0.667 0.167
O3 0.667 0.333 0.833

## Properties
For the spin magnetization, the calculation gives 0.0 μB/f.u. The calculation puts the total DFT energy (no corrections) at -3.425 eV per atom. For the density of states at the Fermi level, the calculation gives 5.15 states/eV/cell.